# 1
Here is a crystal of LiCrRu2 relaxed with PBEsol from Alexandria. Energies are from SCAN.

ΔE_f, kJ/mol of formula units: 73

The structure in POSCAR format:
```
LiCrRu2
1.0
2.8237 0.0000 0.0000
0.0000 4.4111 0.0000
-1.4119 -2.2056 4.0679
Cr Li Ru
1 1 2
direct
0.5000 0.0000 0.0000 Cr
0.0000 0.5000 0.0000 Li
0.7685 0.7685 0.5370 Ru
0.2315 0.2315 0.4630 Ru
```


# 2
Here is a crystal of Mg2FeOs relaxed with PBEsol from Alexandria. Energies are from SCAN.

ΔE_f, kJ/mol of formula units: 103

The structure in POSCAR format:
```
Mg2FeOs
1.0
2.6728 0.0000 0.0000
0.0000 2.6728 0.0000
0.0000 0.0000 8.3272
Fe Mg Os
1 2 1
direct
0.5000 0.5000 0.5000 Fe
0.0000 0.0000 0.7442 Mg
0.0000 0.0000 0.2558 Mg
0.5000 0.5000 0.0000 Os
```


# 3
Here is a crystal of Sr2GdCu2RuO8 relaxed with PBEsol from Alexandria. Energies are from SCAN.

Energy relative to the elements, uncorrected, eV/atom: -2.146

The structure in POSCAR format:
```
Sr2GdCu2RuO8
1.0
-4.4066 3.0445 0.6066
0.4856 -0.3644 5.3559
6.5192 9.4259 0.0502
Sr Gd Cu Ru O
4 2 4 2 16
direct
0.5000 0.0000 0.8083 Sr
0.0000 0.5000 0.1917 Sr
0.5000 0.0000 0.1917 Sr
0.0000 0.5000 0.8083 Sr
0.5000 0.0000 0.5000 Gd
0.0000 0.5000 0.5000 Gd
0.5000 0.5000 0.6425 Cu
0.0000 0.0000 0.3575 Cu
0.5000 0.5000 0.3575 Cu
0.0000 0.0000 0.6425 Cu
0.5000 0.5000 0.0000 Ru
0.0000 0.0000 0.0000 Ru
0.5000 0.5000 0.8323 O
0.0000 0.0000 0.1677 O
0.5000 0.5000 0.1677 O
0.0000 0.0000 0.8323 O
0.8153 0.3153 0.0000 O
0.1847 0.6847 0.0000 O
0.3153 0.1847 0.0000 O
0.6847 0.8153 0.0000 O
0.7494 0.2494 0.3716 O
0.2506 0.7506 0.3716 O
0.2494 0.2506 0.6284 O
0.7506 0.7494 0.6284 O
0.2506 0.7506 0.6284 O
0.7494 0.2494 0.6284 O
0.7506 0.7494 0.3716 O
0.2494 0.2506 0.3716 O
```


# 4
Here is a crystal of Y2TeO6 relaxed with PBEsol from Alexandria. Energies are from SCAN.

Energy relative to the elements, uncorrected, eV/atom: -2.810

The structure in POSCAR format:
```
Y2TeO6
1.0
5.3853 0.0000 0.0000
0.0000 7.6179 -0.0189
0.0000 -2.7669 11.0191
Y Te O
8 4 24
direct
0.2565 0.0000 0.7500 Y
0.7435 0.0000 0.2500 Y
0.8109 0.7872 0.9228 Y
0.1891 0.7872 0.4228 Y
0.3121 0.5000 0.7500 Y
0.6879 0.5000 0.2500 Y
0.8109 0.2128 0.5772 Y
0.1891 0.2128 0.0772 Y
0.7428 0.7265 0.6153 Te
0.2572 0.7265 0.1153 Te
0.7428 0.2735 0.8847 Te
0.2572 0.2735 0.3847 Te
0.9447 0.9418 0.6056 O
0.4595 0.8480 0.5690 O
0.0553 0.9418 0.1056 O
0.5490 0.7942 0.7713 O
0.5405 0.8480 0.0690 O
0.0215 0.7079 0.7259 O
0.4510 0.7942 0.2713 O
0.1485 0.6382 0.9498 O
0.6278 0.4907 0.6151 O
0.9785 0.7079 0.2259 O
0.6278 0.5093 0.8849 O
0.1485 0.3618 0.5502 O
0.8515 0.6382 0.4498 O
0.3722 0.4907 0.1151 O
0.0215 0.2921 0.7741 O
0.3722 0.5093 0.3849 O
0.8515 0.3618 0.0502 O
0.5490 0.2058 0.7287 O
0.9785 0.2921 0.2741 O
0.4595 0.1520 0.9310 O
0.4510 0.2058 0.2287 O
0.9447 0.0582 0.8944 O
0.5405 0.1520 0.4310 O
0.0553 0.0582 0.3944 O
```


# 5
Here is a crystal of LaIn4Ni relaxed with PBEsol from Alexandria. Energies are from SCAN.

ΔE_f, kJ/mol of formula units: -285

The structure in POSCAR format:
```
LaIn4Ni
1.0
4.4635 0.0000 0.0000
0.0000 7.1407 0.0000
-2.2318 0.0000 8.3842
Ni In La
2 8 2
direct
0.2259 0.2500 0.4518 Ni
0.7741 0.7500 0.5482 Ni
0.5000 0.5000 0.0000 In
0.5000 0.0000 0.0000 In
0.6888 0.0486 0.3777 In
0.3112 0.9514 0.6223 In
0.3112 0.5486 0.6223 In
0.6888 0.4514 0.3777 In
0.0752 0.2500 0.1504 In
0.9248 0.7500 0.8496 In
0.1179 0.7500 0.2358 La
0.8821 0.2500 0.7642 La
```


# 6
Here is a crystal of NbTl2Cl relaxed with PBEsol from Alexandria. Energies are from SCAN.

Energy relative to the elements, uncorrected, eV/atom: 0.593

The structure in POSCAR format:
```
NbTl2Cl
1.0
5.0849 0.0000 0.0000
2.5425 4.4037 0.0000
2.5425 1.4679 4.1518
Tl Nb Cl
2 1 1
direct
0.2500 0.2500 0.2500 Tl
0.7500 0.7500 0.7500 Tl
0.5000 0.5000 0.5000 Nb
0.0000 0.0000 0.0000 Cl
```


# 7
Here is a crystal of LiSe2I relaxed with PBEsol from Alexandria. Energies are from SCAN.

Energy relative to the elements, uncorrected, eV/atom: -0.074

The structure in POSCAR format:
```
LiSe2I
1.0
5.2663 0.0000 0.0000
2.6331 4.5607 0.0000
2.6331 1.5202 4.6098
I Se Li
1 2 1
direct
0.5000 0.5000 0.5000 I
0.1773 0.1773 0.4681 Se
0.8227 0.8227 0.5319 Se
0.0000 0.0000 0.0000 Li
```


# 8
Here is a crystal of ScZn2Mo relaxed with PBEsol from Alexandria. Energies are from SCAN.

ΔE_f, kJ/mol of formula units: -5

The structure in POSCAR format:
```
ScZn2Mo
1.0
-0.6987 1.7994 2.0734
-3.4432 1.1639 -2.1705
-2.4937 -4.5071 1.5390
Mo Sc Zn
1 1 2
direct
0.5404 0.0000 0.4715 Mo
0.2187 0.5000 0.7689 Sc
0.8217 0.0000 0.9991 Zn
0.9192 0.5000 0.2605 Zn
```


# 9
Here is a crystal of LaCdCuMo2 relaxed with PBEsol from Alexandria. Energies are from SCAN.

ΔE_f, kJ/mol of formula units: 580

The structure in POSCAR format:
```
LaCdCuMo2
1.0
4.6228 0.0000 0.0000
0.0000 4.6228 0.0000
0.0000 0.0000 5.2035
Mo Cd Cu La
2 1 1 1
direct
0.0000 0.5000 0.0000 Mo
0.5000 0.0000 0.0000 Mo
0.5000 0.5000 0.5000 Cd
0.0000 0.0000 0.0000 Cu
0.0000 0.0000 0.5000 La
```


# 10
Here is a crystal of LaNiRh2 relaxed with PBEsol from Alexandria. Energies are from SCAN.

ΔE_f, kJ/mol of formula units: -29

The structure in POSCAR format:
```
LaNiRh2
1.0
-2.3937 -0.7410 -1.7664
1.3494 -3.3032 -0.4429
-2.9714 -1.8583 4.8061
La Ni Rh
1 1 2
direct
0.5000 0.5000 0.0000 La
0.5000 0.5000 0.5000 Ni
0.0000 0.0000 0.7140 Rh
0.0000 0.0000 0.2860 Rh
```


# 11
Here is a crystal of Mg2AlSi relaxed with PBEsol from Alexandria. Energies are from SCAN.

Energy relative to the elements, uncorrected, eV/atom: 0.132

The structure in POSCAR format:
```
Mg2AlSi
1.0
-1.0559 -2.7816 0.5473
1.3336 -1.0037 -2.5230
6.6902 -1.7100 4.2166
Mg Si Al
2 1 1
direct
0.0000 0.0000 0.0163 Mg
0.5000 0.5000 0.7215 Mg
0.0000 0.0000 0.4843 Si
0.5000 0.5000 0.2779 Al
```


# 12
Here is a crystal of BaSiRu2 relaxed with PBEsol from Alexandria. Energies are from SCAN.

Energy relative to the elements, uncorrected, eV/atom: -0.202

The structure in POSCAR format:
```
BaSiRu2
1.0
4.2930 0.0000 0.0000
2.1465 3.7178 0.0000
2.1465 1.2393 5.7533
Ba Ru Si
1 2 1
direct
0.0000 0.0000 0.0000 Ba
0.1784 0.1784 0.4648 Ru
0.8216 0.8216 0.5352 Ru
0.5000 0.5000 0.5000 Si
```


# 13
Here is a crystal of ScAgTe2 relaxed with PBEsol from Alexandria. Energies are from SCAN.

Energy relative to the elements, uncorrected, eV/atom: 0.055

The structure in POSCAR format:
```
ScAgTe2
1.0
-3.0704 2.0994 0.8262
-2.7969 -1.4708 2.1287
2.1260 3.2434 8.4444
Sc Te Ag
1 2 1
direct
0.0000 0.0000 0.0000 Sc
0.8984 0.8984 0.3048 Te
0.1016 0.1016 0.6952 Te
0.5000 0.5000 0.5000 Ag
```


# 14
Here is a crystal of CaCl2 relaxed with PBEsol from Alexandria. Energies are from SCAN.

Energy relative to the elements, uncorrected, eV/atom: -2.655

The structure in POSCAR format:
```
CaCl2
1.0
4.1280 0.0000 0.0000
0.0000 6.2427 0.0000
0.0000 0.0000 6.4056
Ca Cl
2 4
direct
0.0000 0.0000 0.0000 Ca
0.5000 0.5000 0.5000 Ca
0.0000 0.2786 0.6726 Cl
0.0000 0.7214 0.3274 Cl
0.5000 0.2214 0.1726 Cl
0.5000 0.7786 0.8274 Cl
```


# 15
Here is a crystal of V2NiS4 relaxed with PBEsol from Alexandria. Energies are from SCAN.

Energy relative to the elements, uncorrected, eV/atom: -0.909

The structure in POSCAR format:
```
V2NiS4
1.0
-0.4654 -1.6236 2.6855
-0.3742 -4.8857 -3.0186
5.7048 2.3061 0.5089
Ni S V
1 4 2
direct
0.0000 0.0000 0.0000 Ni
0.1045 0.4444 0.2089 S
0.3615 0.0217 0.7230 S
0.8955 0.5556 0.7911 S
0.6385 0.9783 0.2770 S
0.7412 0.6900 0.4824 V
0.2588 0.3100 0.5176 V
```


# 16
Here is a crystal of Sc4MoBr relaxed with PBEsol from Alexandria. Energies are from SCAN.

Energy relative to the elements, uncorrected, eV/atom: 0.724

The structure in POSCAR format:
```
Sc4MoBr
1.0
5.6643 0.0000 0.0000
2.8322 4.9054 0.0000
2.8322 1.6351 4.6249
Br Mo Sc
1 1 4
direct
0.7500 0.7500 0.7500 Br
0.0000 0.0000 0.0000 Mo
0.3713 0.3713 0.3713 Sc
0.3713 0.3713 0.8860 Sc
0.8860 0.3713 0.3713 Sc
0.3713 0.8860 0.3713 Sc
```


# 17
Here is a crystal of La5Co3 relaxed with PBEsol from Alexandria. Energies are from SCAN.

ΔE_f, kJ/mol of formula units: 42

The structure in POSCAR format:
```
La5Co3
1.0
-3.1138 -5.4099 2.9798
5.7491 -4.7428 -2.6032
0.6582 3.5014 7.0448
Co La
6 10
direct
0.7500 0.3756 0.3756 Co
0.2500 0.6244 0.6244 Co
0.7500 0.0000 0.6244 Co
0.7500 0.6244 0.0000 Co
0.2500 0.3756 0.0000 Co
0.2500 0.0000 0.3756 Co
0.0000 0.6667 0.3333 La
0.5000 0.3333 0.6667 La
0.0000 0.3333 0.6667 La
0.5000 0.6667 0.3333 La
0.7500 0.7500 0.7500 La
0.2500 0.2500 0.2500 La
0.7500 0.0000 0.2500 La
0.7500 0.2500 0.0000 La
0.2500 0.7500 0.0000 La
0.2500 0.0000 0.7500 La
```


# 18
Here is a crystal of B4C relaxed with PBEsol from Alexandria. Energies are from SCAN.

ΔE_f, kJ/mol of formula units: -27

The structure in POSCAR format:
```
B4C
1.0
-2.8725 -2.7314 -3.1946
4.8898 0.3545 -1.3676
3.1089 -17.2762 13.7183
B C
56 14
direct
0.6764 0.9885 0.9984 B
0.9396 0.1236 0.0656 B
0.0087 0.3207 0.9985 B
0.4666 0.4034 0.1999 B
0.7281 0.5368 0.2659 B
0.6667 0.4716 0.1353 B
0.2909 0.2660 0.0377 B
0.7965 0.7478 0.1998 B
0.7704 0.7461 0.0377 B
0.5285 0.9399 0.4679 B
0.0760 0.6830 0.2403 B
0.4614 0.8724 0.3369 B
0.0415 0.6395 0.1598 B
0.5961 0.1329 0.4012 B
0.5592 0.1603 0.2405 B
0.1467 0.9159 0.0621 B
0.5254 0.1170 0.1598 B
0.0556 0.2176 0.6030 B
0.2549 0.2836 0.5381 B
0.8798 0.0819 0.4405 B
0.8430 0.0358 0.3600 B
0.3847 0.5467 0.6032 B
0.3573 0.5655 0.4405 B
0.3201 0.5186 0.3598 B
0.9357 0.3246 0.2634 B
0.8724 0.2606 0.1323 B
0.1321 0.3952 0.1990 B
0.8677 0.6039 0.8013 B
0.6660 0.4952 0.6431 B
0.0609 0.6752 0.7369 B
0.6288 0.4522 0.5626 B
0.6038 0.4668 0.4003 B
0.1966 0.9329 0.8013 B
0.1470 0.9763 0.6431 B
0.1098 0.9325 0.5626 B
0.7368 0.7309 0.4649 B
0.6712 0.6623 0.3343 B
0.9483 0.7968 0.4004 B
0.4785 0.8796 0.8400 B
0.8727 0.0604 0.9339 B
0.4384 0.8372 0.7595 B
0.3909 0.8794 0.6021 B
0.9596 0.3607 0.8400 B
0.9216 0.3203 0.7595 B
0.5252 0.1400 0.6661 B
0.4595 0.0728 0.5349 B
0.7216 0.2100 0.6020 B
0.2505 0.2247 0.9571 B
0.2035 0.2655 0.7990 B
0.3358 0.5268 0.8633 B
0.7315 0.7055 0.9571 B
0.2677 0.4629 0.7314 B
0.5328 0.5948 0.7990 B
0.0135 0.6521 0.9971 B
0.3442 0.9829 0.9969 B
0.0788 0.8494 0.9290 B
0.5616 0.5095 0.0721 C
0.2770 0.8021 0.4010 C
0.3415 0.9307 0.2765 C
0.2536 0.8717 0.1246 C
0.3242 0.3412 0.6661 C
0.8012 0.0760 0.1992 C
0.1463 0.3302 0.4758 C
0.0544 0.2650 0.3237 C
0.1365 0.7267 0.8640 C
0.9333 0.7448 0.6790 C
0.8382 0.6889 0.5281 C
0.7517 0.1227 0.8752 C
0.6478 0.0770 0.7255 C
0.4552 0.4675 0.9235 C
```


# 19
Here is a crystal of Tl2RhPb relaxed with PBEsol from Alexandria. Energies are from SCAN.

ΔE_f, kJ/mol of formula units: 147

The structure in POSCAR format:
```
Tl2RhPb
1.0
4.4274 0.0000 0.0000
0.0000 4.4274 0.0000
-2.2137 -2.2137 4.5605
Pb Rh Tl
1 1 2
direct
0.5000 0.5000 0.0000 Pb
0.0000 0.0000 0.0000 Rh
0.7500 0.2500 0.5000 Tl
0.2500 0.7500 0.5000 Tl
```


# 20
Here is a crystal of Sr3RuPb relaxed with PBEsol from Alexandria. Energies are from SCAN.

ΔE_f, kJ/mol of formula units: 65

The structure in POSCAR format:
```
Sr3RuPb
1.0
-3.4765 2.8683 3.1595
-3.7480 -4.0007 -0.4921
2.0401 -2.4622 4.4801
Pb Ru Sr
1 1 3
direct
0.5000 0.5000 0.5000 Pb
0.0000 0.0000 0.0000 Ru
0.0000 0.5000 0.0000 Sr
0.0000 0.0000 0.5000 Sr
0.5000 0.0000 0.0000 Sr
```